A plane-wave DFT calculation with PBE-GGA was carried out for a relaxed structure of Pr6SmEr3Tm2.

Summary:
* electronic total energy: -4.6545 eV/atom
* E_form: 0.014 eV/atom
* space group: No. 12
* total magnetization: 0.0 μB per formula unit

Unit cell a=6.2888 b=6.2888 c=11.8445 alpha=95.07 beta=95.07 gamma=119.99
Last column: nearest neighbours and their distance in Å.
Fractional positions:
Pr: 0.2502 0.2502 0.7494  3 Er 3.58-3.59, 2 Tm 3.60, 1 Sm 3.60, 6 Pr 3.63-3.64
Pr: 0.7498 0.7498 0.2506  3 Er 3.58-3.59, 2 Tm 3.60, 1 Sm 3.60, 6 Pr 3.63-3.64
Pr: 0.0837 0.4177 0.2508  3 Er 3.58, 2 Tm 3.60, 1 Sm 3.60, 6 Pr 3.63-3.64
Pr: 0.4177 0.0837 0.2508  3 Er 3.58, 2 Tm 3.60, 1 Sm 3.60, 6 Pr 3.63-3.64
Pr: 0.9163 0.5823 0.7492  3 Er 3.58, 2 Tm 3.60, 1 Sm 3.60, 6 Pr 3.63-3.64
Pr: 0.5823 0.9163 0.7492  3 Er 3.58, 2 Tm 3.60, 1 Sm 3.60, 6 Pr 3.63-3.64
Tm: 0.6666 0.3334 0.0000  6 Pr 3.60, 3 Tm 3.63, 3 Sm 3.63
Tm: 0.3334 0.6666 0.0000  6 Pr 3.60, 3 Tm 3.63, 3 Sm 3.63
Er: 0.5000 0.5000 0.5000  6 Pr 3.58, 6 Er 3.63
Er: 0.8333 0.1667 0.5000  6 Pr 3.58-3.59, 6 Er 3.63
Er: 0.1667 0.8333 0.5000  6 Pr 3.58-3.59, 6 Er 3.63
Sm: 0.0000 0.0000 0.0000  6 Pr 3.60, 6 Tm 3.63

***

A plane-wave DFT calculation with PBE-GGA was carried out for a relaxed structure of ZnIr2Os.

Summary:
* electronic total energy: -7.4842 eV/atom
* E_form: 0.072 eV/atom
* space group: No. 99
* total magnetization: 0.0 μB per formula unit

Unit cell a=2.7567 b=2.7567 c=7.5751 alpha=90.00 beta=90.00 gamma=90.00
Last column: nearest neighbours and their distance in Å.
Fractional positions:
Ir: 0.5000 0.5000 0.2559  4 Os 2.66, 8 Ir 2.76
Ir: 0.0000 0.0000 0.9982  4 Zn 2.70, 8 Ir 2.76
Zn: 0.5000 0.5000 0.7511  4 Ir 2.70, 4 Os 2.75, 4 Zn 2.76
Os: 0.0000 0.0000 0.4947  4 Ir 2.66, 4 Zn 2.75, 4 Os 2.76

***

A plane-wave DFT calculation with PBE-GGA was carried out for a relaxed structure of Ho2In9Pb.

Summary:
* electronic total energy: -3.3410 eV/atom
* E_form: -0.215 eV/atom
* space group: No. 123
* total magnetization: 0.0 μB per formula unit

Unit cell a=4.6668 b=4.6668 c=14.3364 alpha=90.00 beta=90.00 gamma=90.00
Last column: nearest neighbours and their distance in Å.
Fractional positions:
In: 0.5000 0.5000 0.0000  4 Pb 3.30, 8 In 3.42
In: 0.5000 0.0000 0.8259  8 In 3.30-3.42, 2 Ho 3.33, 2 Pb 3.42
In: 0.5000 0.5000 0.3379  8 In 3.29-3.31, 4 Ho 3.30
In: 0.5000 0.0000 0.5000  4 Ho 3.27, 8 In 3.29-3.30
In: 0.5000 0.0000 0.1741  8 In 3.30-3.42, 2 Ho 3.33, 2 Pb 3.42
In: 0.0000 0.5000 0.5000  4 Ho 3.27, 8 In 3.29-3.30
In: 0.0000 0.5000 0.1741  8 In 3.30-3.42, 2 Ho 3.33, 2 Pb 3.42
In: 0.5000 0.5000 0.6621  8 In 3.29-3.31, 4 Ho 3.30
In: 0.0000 0.5000 0.8259  8 In 3.30-3.42, 2 Ho 3.33, 2 Pb 3.42
Pb: 0.0000 0.0000 0.0000  12 In 3.30-3.42
Ho: 0.0000 0.0000 0.6600  12 In 3.27-3.33
Ho: 0.0000 0.0000 0.3400  12 In 3.27-3.33

***

A plane-wave DFT calculation with PBE-GGA was carried out for a relaxed structure of Li2TeF6.

Summary:
* electronic total energy: -4.4867 eV/atom
* space group: No. 164
* total magnetization: 0.0 μB per formula unit
* polymorph energy (0 for the lowest one): 0.017 eV/atom
* ΔE_f (raw): -56.8 kcal/mol of atoms

Unit cell a=4.7508 b=9.1755 c=9.1755 alpha=120.00 beta=90.00 gamma=90.00
Last column: nearest neighbours and their distance in Å.
Fractional positions:
F: 0.2495 0.2301 0.4602  1 Te 2.06, 2 Li 2.18
F: 0.7505 0.7699 0.5398  1 Te 2.06, 2 Li 2.18
F: 0.2071 0.8838 0.1162  1 Te 2.09, 2 Li 2.10
F: 0.2071 0.8838 0.7677  1 Te 2.09, 2 Li 2.10
F: 0.7505 0.4602 0.2301  1 Te 2.06, 2 Li 2.18
F: 0.7929 0.1162 0.8838  1 Te 2.09, 2 Li 2.10
F: 0.2495 0.2301 0.7699  1 Te 2.06, 2 Li 2.18
F: 0.7929 0.7677 0.8838  1 Te 2.09, 2 Li 2.10
F: 0.7607 0.4471 0.8942  2 Li 1.98, 1 Te 2.16
F: 0.2495 0.5398 0.7699  1 Te 2.06, 2 Li 2.18
F: 0.7607 0.4471 0.5529  2 Li 1.98, 1 Te 2.16
F: 0.2393 0.5529 0.1058  2 Li 1.98, 1 Te 2.16
F: 0.7607 0.1058 0.5529  2 Li 1.98, 1 Te 2.16
F: 0.2393 0.8942 0.4471  2 Li 1.98, 1 Te 2.16
F: 0.7505 0.7699 0.2301  1 Te 2.06, 2 Li 2.18
F: 0.7929 0.1162 0.2323  1 Te 2.09, 2 Li 2.10
F: 0.2071 0.2323 0.1162  1 Te 2.09, 2 Li 2.10
F: 0.2393 0.5529 0.4471  2 Li 1.98, 1 Te 2.16
Li: 0.0000 0.0000 0.3494  6 F 1.98-2.18
Li: 0.0000 0.3494 0.0000  6 F 1.98-2.18
Li: 0.0000 0.0000 0.6506  6 F 1.98-2.18
Li: 0.0000 0.6506 0.0000  6 F 1.98-2.18
Li: 0.0000 0.6506 0.6506  6 F 1.98-2.18
Li: 0.0000 0.3494 0.3494  6 F 1.98-2.18
Te: 0.5107 0.3333 0.6667  6 F 2.06-2.16
Te: 0.4893 0.6667 0.3333  6 F 2.06-2.16
Te: 0.0000 0.0000 0.0000  6 F 2.09

***

A plane-wave DFT calculation with PBE-GGA was carried out for a relaxed structure of Ba3SrTl2.

Summary:
* electronic total energy: -2.3115 eV/atom
* E_form: -0.281 eV/atom
* space group: No. 123
* total magnetization: 0.0 μB per formula unit
* polymorph energy (0 for the lowest one): 0.021 eV/atom

Unit cell a=4.3531 b=4.3531 c=14.6494 alpha=90.00 beta=90.00 gamma=90.00
Last column: nearest neighbours and their distance in Å.
Fractional positions:
Ba: 0.0000 0.0000 0.0000  8 Tl 3.76, 2 Ba 4.11
Ba: 0.0000 0.0000 0.2806  4 Tl 3.65
Ba: 0.0000 0.0000 0.7194  4 Tl 3.65
Tl: 0.5000 0.5000 0.8529  8 Ba 3.65-3.76
Tl: 0.5000 0.5000 0.1471  8 Ba 3.65-3.76
Sr: 0.5000 0.5000 0.5000  4 Sr 4.35, 8 Ba 4.45

***

A plane-wave DFT calculation with PBE-GGA was carried out for a relaxed structure of Sr3TlO.

Summary:
* electronic total energy: -3.4090 eV/atom
* space group: No. 227
* total magnetization: 0.6 μB per formula unit
* ΔE_f (raw): -21.6 kcal/mol of atoms

Unit cell a=9.9037 b=9.9037 c=9.9037 alpha=60.00 beta=60.00 gamma=60.00
Last column: nearest neighbours and their distance in Å.
Fractional positions:
O: 0.1250 0.6250 0.1250  6 Sr 2.65
O: 0.6250 0.1250 0.1250  6 Sr 2.65
O: 0.1250 0.1250 0.1250  6 Sr 2.65
O: 0.1250 0.1250 0.6250  6 Sr 2.65
Sr: 0.8081 0.1919 0.1919  2 O 2.65
Sr: 0.4419 0.4419 0.0581  2 O 2.65
Sr: 0.1919 0.8081 0.1919  2 O 2.65
Sr: 0.1919 0.1919 0.8081  2 O 2.65
Sr: 0.0581 0.4419 0.0581  2 O 2.65
Sr: 0.0581 0.0581 0.4419  2 O 2.65
Sr: 0.1919 0.8081 0.8081  2 O 2.65
Sr: 0.4419 0.0581 0.0581  2 O 2.65
Sr: 0.8081 0.1919 0.8081  2 O 2.65
Sr: 0.8081 0.8081 0.1919  2 O 2.65
Sr: 0.4419 0.0581 0.4419  2 O 2.65
Sr: 0.0581 0.4419 0.4419  2 O 2.65
Tl: 0.1250 0.6250 0.6250  6 Sr 3.56
Tl: 0.6250 0.6250 0.1250  6 Sr 3.56
Tl: 0.6250 0.6250 0.6250  6 Sr 3.56
Tl: 0.6250 0.1250 0.6250  6 Sr 3.56

***

A plane-wave DFT calculation with PBE-GGA was carried out for a relaxed structure of SmTm3Au2.

Summary:
* electronic total energy: -4.5757 eV/atom
* E_form: -0.461 eV/atom
* space group: No. 72
* total magnetization: 0.0 μB per formula unit
* polymorph energy (0 for the lowest one): 0.182 eV/atom

Unit cell a=7.0169 b=7.2209 c=8.5571 alpha=114.96 beta=114.21 gamma=90.00
Last column: nearest neighbours and their distance in Å.
Fractional positions:
Tm: 0.2345 0.9845 0.4690  4 Au 2.85-3.03
Tm: 0.7655 0.0155 0.5310  4 Au 2.85-3.03
Tm: 0.5000 0.2500 0.0000  4 Au 3.04
Tm: 0.5000 0.7500 0.0000  4 Au 3.04
Tm: 0.2345 0.4845 0.4690  4 Au 2.85-3.03
Tm: 0.7655 0.5155 0.5310  4 Au 2.85-3.03
Au: 0.8460 0.1435 0.2871  6 Tm 2.85-3.04, 1 Sm 2.88
Au: 0.1540 0.8565 0.7129  6 Tm 2.85-3.04, 1 Sm 2.88
Au: 0.4411 0.6435 0.2871  6 Tm 2.85-3.04, 1 Sm 2.88
Au: 0.5589 0.3565 0.7129  6 Tm 2.85-3.04, 1 Sm 2.88
Sm: 0.0000 0.0000 0.0000  2 Au 2.88
Sm: 0.0000 0.5000 0.0000  2 Au 2.88

***

A plane-wave DFT calculation with PBE-GGA was carried out for a relaxed structure of Li3OsRh.

Summary:
* electronic total energy: -3.6845 eV/atom
* E_form: 1.180 eV/atom
* space group: No. 221
* total magnetization: 2.2 μB per formula unit
* polymorph energy (0 for the lowest one): 0.000 eV/atom

Unit cell a=4.2546 b=4.2546 c=4.2546 alpha=90.00 beta=90.00 gamma=90.00
Last column: nearest neighbours and their distance in Å.
Fractional positions:
Os: 0.5000 0.5000 0.5000  12 Li 3.01
Li: 0.0000 0.5000 0.0000  2 Rh 2.13
Li: 0.0000 0.0000 0.5000  2 Rh 2.13
Li: 0.5000 0.0000 0.0000  2 Rh 2.13
Rh: 0.0000 0.0000 0.0000  6 Li 2.13